Computed, not measured: MgZn2Ir at its PBEsol-relaxed geometry at the meta-GGA SCAN level of DFT.

Computed properties:
Its total energy is -26.16 eV/atom. The symmetry is I4/mmm (139). The value obtained for the formation energy from the elements is -1.5 eV/f.u.

Cell and atoms, written as extended XYZ:
```
4
Lattice="-3.471 1.449 0.535 -1.382 -3.500 0.518 3.141 1.314 3.333" Properties=species:S:1:pos:R:3 pbc="T T T"
Zn -0.333 -1.606 2.188
Zn -1.378 0.869 2.197
Mg 0.000 0.000 0.000
Ir -2.426 -1.026 0.526
```

Computed, not measured: Mg2ZrIr at its PBEsol-relaxed geometry at the meta-GGA SCAN level of DFT.

Computed properties:
Its total energy is -28.18 eV/atom. The symmetry is Pmmm (47). The value obtained for the formation energy from the elements is -1.0 eV/f.u.

Cell and atoms, written as extended XYZ:
```
4
Lattice="-2.017 -1.347 1.652 -0.004 -3.378 -2.759 4.017 -2.407 2.941" Properties=species:S:1:pos:R:3 pbc="T T T"
Mg 1.085 -0.650 0.794
Mg 2.932 -1.757 2.147
Zr -1.010 -2.362 -0.553
Ir 0.998 -3.566 0.917
```

Computed, not measured: Mg2ZrIr at its PBEsol-relaxed geometry at the meta-GGA SCAN level of DFT.

Computed properties:
Its total energy is -28.45 eV/atom. The symmetry is F-43m (216). The value obtained for the formation energy from the elements is -2.1 eV/f.u.

Cell and atoms, written as extended XYZ:
```
4
Lattice="4.626 0.000 0.000 -2.313 4.003 0.053 0.000 2.623 3.811" Properties=species:S:1:pos:R:3 pbc="T T T"
Ir 2.313 3.969 2.884
Mg 2.313 1.311 1.905
Mg 0.000 2.657 0.979
Zr 0.000 0.000 0.000
```

Computed, not measured: MgZrIr at its PBEsol-relaxed geometry at the meta-GGA SCAN level of DFT.

Computed properties:
Its total energy is -36.12 eV/atom. The symmetry is P3m1 (156). The value obtained for the formation energy from the elements is -1.6 eV/f.u.

Cell and atoms, written as extended XYZ:
```
3
Lattice="2.963 0.000 0.000 0.000 4.508 0.000 0.000 -2.254 3.904" Properties=species:S:1:pos:R:3 pbc="T T T"
Zr 0.871 0.000 2.603
Ir 2.906 0.000 0.000
Mg 2.148 2.254 1.301
```

Computed, not measured: Mg2ZrIr at its PBEsol-relaxed geometry at the meta-GGA SCAN level of DFT.

Computed properties:
Its total energy is -28.12 eV/atom. The symmetry is C2/m (12). The value obtained for the formation energy from the elements is -0.7 eV/f.u.

Cell and atoms, written as extended XYZ:
```
4
Lattice="2.986 0.043 0.000 -0.457 4.830 0.000 -1.264 -2.436 5.059" Properties=species:S:1:pos:R:3 pbc="T T T"
Ir -0.229 2.415 0.000
Zr 1.493 0.021 0.000
Mg 0.632 1.218 2.530
Mg -0.632 -1.218 2.530
```

Computed, not measured: Mg2ZrIr at its PBEsol-relaxed geometry at the meta-GGA SCAN level of DFT.

Computed properties:
Its total energy is -28.41 eV/atom. The symmetry is P4mm (99). The value obtained for the formation energy from the elements is -1.9 eV/f.u.

Cell and atoms, written as extended XYZ:
```
4
Lattice="-0.639 2.260 2.083 0.172 -2.098 2.329 7.597 1.456 0.750" Properties=species:S:1:pos:R:3 pbc="T T T"
Zr 3.831 1.925 1.451
Mg 1.919 -0.698 1.345
Mg 6.977 2.528 1.762
Ir 5.797 0.045 1.728
```

Computed, not measured: Mg2ZrIr at its PBEsol-relaxed geometry at the meta-GGA SCAN level of DFT.

Computed properties:
Its total energy is -28.41 eV/atom. The symmetry is P4/mmm (123). The value obtained for the formation energy from the elements is -1.9 eV/f.u.

Cell and atoms, written as extended XYZ:
```
4
Lattice="-1.844 -1.623 -3.040 2.069 -3.279 0.495 -3.301 -1.647 2.882" Properties=species:S:1:pos:R:3 pbc="T T T"
Mg 1.035 -1.640 0.248
Mg -0.922 -0.812 -1.520
Ir -1.650 -0.824 1.441
Zr -1.538 -3.275 0.169
```

Computed, not measured: MnIr2 at its PBEsol-relaxed geometry at the meta-GGA SCAN level of DFT.

Computed properties:
Its total energy is -53.75 eV/atom. The symmetry is Immm (71). The value obtained for the formation energy from the elements is -0.8 eV/f.u.

Cell and atoms, written as extended XYZ:
```
3
Lattice="2.656 0.000 0.000 0.000 3.702 0.000 -1.328 -1.851 3.995" Properties=species:S:1:pos:R:3 pbc="T T T"
Ir 0.000 0.000 2.692
Ir 1.328 1.851 1.303
Mn 0.000 0.000 0.000
```